No. 1
# CaLaAl2

A relaxed structure of CaLaAl2 (PBE, Alexandria via LeMat-Bulk).

Calculated values
* mass density: 3.39 Mg/m³
* ΔH_f (0 K): 0.08 eV per formula unit
* V: 28.5 Å³ per atom
* total DFT energy (no corrections): -3.58 eV/atom

Cell and atoms, written as CIF:
```
data_CaLaAl2
_symmetry_space_group_name_H-M 'P 1'
_symmetry_Int_Tables_number 1
_symmetry_space_group_name_Hall 'P 1'
_cell_length_a 3.618
_cell_length_b 3.618
_cell_length_c 30.152
_cell_angle_alpha 90.00
_cell_angle_beta 90.00
_cell_angle_gamma 120.00
loop_
_atom_site_label
_atom_site_type_symbol
_atom_site_fract_x
_atom_site_fract_y
_atom_site_fract_z
Ca1 Ca 0.000 0.000 0.000
Ca2 Ca 0.333 0.667 0.667
Ca3 Ca 0.667 0.333 0.333
La1 La 0.000 0.000 0.500
La2 La 0.333 0.667 0.167
La3 La 0.667 0.333 0.833
Al1 Al 0.000 0.000 0.252
Al2 Al 0.000 0.000 0.748
Al3 Al 0.333 0.667 0.415
Al4 Al 0.333 0.667 0.918
Al5 Al 0.667 0.333 0.082
Al6 Al 0.667 0.333 0.585
```

---

No. 2
# CaLa5Al3

A relaxed structure of CaLa5Al3 (PBE, Alexandria via LeMat-Bulk).

Calculated values
* mass density: 4.98 Mg/m³
* ΔH_f (0 K): -2.25 eV per formula unit
* V: 30.2 Å³ per atom
* total DFT energy (no corrections): -4.46 eV/atom

Cell and atoms, written as CIF:
```
data_CaLa5Al3
_symmetry_space_group_name_H-M 'P 1'
_symmetry_Int_Tables_number 1
_symmetry_space_group_name_Hall 'P 1'
_cell_length_a 9.488
_cell_length_b 9.488
_cell_length_c 6.977
_cell_angle_alpha 90.00
_cell_angle_beta 90.00
_cell_angle_gamma 120.00
loop_
_atom_site_label
_atom_site_type_symbol
_atom_site_fract_x
_atom_site_fract_y
_atom_site_fract_z
Ca1 Ca 0.000 0.000 0.000
Ca2 Ca 0.000 0.000 0.500
La1 La 0.000 0.336 0.250
La2 La 0.000 0.664 0.750
La3 La 0.333 0.667 0.000
La4 La 0.333 0.667 0.500
La5 La 0.336 0.000 0.250
La6 La 0.336 0.336 0.750
La7 La 0.664 0.000 0.750
La8 La 0.664 0.664 0.250
La9 La 0.667 0.333 0.000
La10 La 0.667 0.333 0.500
Al1 Al 0.000 0.329 0.750
Al2 Al 0.000 0.671 0.250
Al3 Al 0.329 0.000 0.750
Al4 Al 0.329 0.329 0.250
Al5 Al 0.671 0.000 0.250
Al6 Al 0.671 0.671 0.750
```

---

No. 3
# LiCaLaAl

A relaxed structure of LiCaLaAl (PBE, Alexandria via LeMat-Bulk).

Calculated values
* mass density: 3.18 Mg/m³
* ΔH_f (0 K): -0.71 eV per formula unit
* V: 27.8 Å³ per atom
* total DFT energy (no corrections): -3.32 eV/atom

Cell and atoms, written as CIF:
```
data_LiCaLaAl
_symmetry_space_group_name_H-M 'P 1'
_symmetry_Int_Tables_number 1
_symmetry_space_group_name_Hall 'P 1'
_cell_length_a 7.635
_cell_length_b 7.635
_cell_length_c 7.635
_cell_angle_alpha 90.00
_cell_angle_beta 90.00
_cell_angle_gamma 90.00
loop_
_atom_site_label
_atom_site_type_symbol
_atom_site_fract_x
_atom_site_fract_y
_atom_site_fract_z
Li1 Li 0.000 0.000 0.000
Li2 Li 0.000 0.500 0.500
Li3 Li 0.500 0.000 0.500
Li4 Li 0.500 0.500 0.000
Ca1 Ca 0.250 0.250 0.250
Ca2 Ca 0.250 0.750 0.750
Ca3 Ca 0.750 0.250 0.750
Ca4 Ca 0.750 0.750 0.250
La1 La 0.250 0.250 0.750
La2 La 0.250 0.750 0.250
La3 La 0.750 0.250 0.250
La4 La 0.750 0.750 0.750
Al1 Al 0.000 0.000 0.500
Al2 Al 0.000 0.500 0.000
Al3 Al 0.500 0.000 0.000
Al4 Al 0.500 0.500 0.500
```

---

No. 4
# CaLaNdAl

A relaxed structure of CaLaNdAl (PBE, Alexandria via LeMat-Bulk).

Calculated values
* mass density: 4.76 Mg/m³
* ΔH_f (0 K): -0.37 eV per formula unit
* V: 30.5 Å³ per atom
* total DFT energy (no corrections): -3.95 eV/atom

Cell and atoms, written as CIF:
```
data_CaLaNdAl
_symmetry_space_group_name_H-M 'P 1'
_symmetry_Int_Tables_number 1
_symmetry_space_group_name_Hall 'P 1'
_cell_length_a 7.875
_cell_length_b 7.875
_cell_length_c 7.875
_cell_angle_alpha 90.00
_cell_angle_beta 90.00
_cell_angle_gamma 90.00
loop_
_atom_site_label
_atom_site_type_symbol
_atom_site_fract_x
_atom_site_fract_y
_atom_site_fract_z
Ca1 Ca 0.000 0.000 0.000
Ca2 Ca 0.000 0.500 0.500
Ca3 Ca 0.500 0.000 0.500
Ca4 Ca 0.500 0.500 0.000
La1 La 0.250 0.250 0.750
La2 La 0.250 0.750 0.250
La3 La 0.750 0.250 0.250
La4 La 0.750 0.750 0.750
Nd1 Nd 0.250 0.250 0.250
Nd2 Nd 0.250 0.750 0.750
Nd3 Nd 0.750 0.250 0.750
Nd4 Nd 0.750 0.750 0.250
Al1 Al 0.000 0.000 0.500
Al2 Al 0.000 0.500 0.000
Al3 Al 0.500 0.000 0.000
Al4 Al 0.500 0.500 0.500
```

---

No. 5
# CaLa2AlNi

A relaxed structure of CaLa2AlNi (PBE, Alexandria via LeMat-Bulk).

Calculated values
* mass density: 4.58 Mg/m³
* ΔH_f (0 K): -0.87 eV per formula unit
* V: 29.3 Å³ per atom
* total DFT energy (no corrections): -4.45 eV/atom

Cell and atoms, written as CIF:
```
data_CaLa2AlNi
_symmetry_space_group_name_H-M 'P 1'
_symmetry_Int_Tables_number 1
_symmetry_space_group_name_Hall 'P 1'
_cell_length_a 5.525
_cell_length_b 5.525
_cell_length_c 4.795
_cell_angle_alpha 90.00
_cell_angle_beta 90.00
_cell_angle_gamma 90.00
loop_
_atom_site_label
_atom_site_type_symbol
_atom_site_fract_x
_atom_site_fract_y
_atom_site_fract_z
Ca1 Ca 0.000 0.000 0.000
La1 La 0.000 0.500 0.500
La2 La 0.500 0.000 0.500
Al1 Al 0.500 0.500 0.000
Ni1 Ni 0.500 0.500 0.500
```

---

No. 6
# CaLaAl3O7

A relaxed structure of CaLaAl3O7 (PBE, Alexandria via LeMat-Bulk).

Calculated values
* mass density: 3.84 Mg/m³
* V: 13.4 Å³ per atom
* total DFT energy (no corrections): -7.58 eV/atom
* energy above the lowest structure with this stoichiometry: 0.0 kJ/mol of atoms
* energy relative to the elements, uncorrected: -3170 meV/atom

Cell and atoms, written as CIF:
```
data_CaLaAl3O7
_symmetry_space_group_name_H-M 'P 1'
_symmetry_Int_Tables_number 1
_symmetry_space_group_name_Hall 'P 1'
_cell_length_a 5.202
_cell_length_b 7.868
_cell_length_c 7.860
_cell_angle_alpha 90.00
_cell_angle_beta 90.32
_cell_angle_gamma 90.00
loop_
_atom_site_label
_atom_site_type_symbol
_atom_site_fract_x
_atom_site_fract_y
_atom_site_fract_z
Ca1 Ca 0.023 0.000 0.420
Ca2 Ca 0.977 0.500 0.580
La1 La 0.006 0.677 0.096
La2 La 0.994 0.177 0.904
Al1 Al 0.458 0.481 0.887
Al2 Al 0.464 0.194 0.601
Al3 Al 0.499 0.337 0.243
Al4 Al 0.501 0.837 0.757
Al5 Al 0.536 0.694 0.399
Al6 Al 0.542 0.981 0.113
O1 O 0.199 0.693 0.385
O2 O 0.206 0.974 0.103
O3 O 0.296 0.416 0.077
O4 O 0.307 0.681 0.856
O5 O 0.311 0.004 0.673
O6 O 0.317 0.349 0.732
O7 O 0.320 0.232 0.401
O8 O 0.680 0.732 0.599
O9 O 0.683 0.849 0.268
O10 O 0.689 0.504 0.327
O11 O 0.693 0.181 0.144
O12 O 0.704 0.916 0.923
O13 O 0.794 0.474 0.897
O14 O 0.801 0.193 0.615
```